1.
Cs2Hg3H4 | GGA-PBE | relaxed

Summary:
**Crystal system**: monoclinic
**VASP energy**: -1.7261 eV/atom
**Total magnetization**: 0.00 μB per cell

a b c (Å): 14.867 4.090 10.434
angles (deg): 90.00 104.15 90.00
Space group C2/m (No. 12)
Unique sites:
Cs 0.116 0.000 0.318
Hg 0.000 0.500 0.000
Hg 0.079 0.500 0.612
H 0.055 0.500 0.772
H 0.188 0.500 0.565


2.
CsHg2H4 | GGA-PBE | relaxed

Summary:
**Crystal system**: tetragonal
**VASP energy**: -1.8755 eV/atom
**Total magnetization**: 0.00 μB per cell

a b c (Å): 7.123 7.123 6.052
angles (deg): 90.00 90.00 90.00
Space group I4/mmm (No. 139)
Unique sites:
Cs 0.000 0.000 0.000
Hg 0.000 0.500 0.250
H 0.000 0.319 0.500


3.
Cs3Hg5H12 | GGA-PBE | relaxed

Summary:
**Crystal system**: cubic
**VASP energy**: -2.0384 eV/atom
**Total magnetization**: 0.00 μB per cell

a b c (Å): 14.075 14.075 14.075
angles (deg): 90.00 90.00 90.00
Space group Ia-3d (No. 230)
Unique sites:
Cs 0.000 0.250 0.125
Hg 0.000 0.000 0.000
Hg 0.000 0.250 0.375
H 0.028 0.141 0.952


4.
Cs11HgH2 | GGA-PBE | relaxed

Summary:
**Crystal system**: orthorhombic
**VASP energy**: -1.1539 eV/atom
**Total magnetization**: 0.00 μB per cell

a b c (Å): 16.769 16.834 16.904
angles (deg): 90.00 90.00 90.00
Space group Ibam (No. 72)
Unique sites:
Cs 0.000 0.000 0.000
Cs 0.081 0.284 0.134
Cs 0.186 0.190 0.500
Cs 0.219 0.421 0.366
Hg 0.000 0.500 0.250
H 0.188 0.188 0.000


5.
Cs2HgH | GGA-PBE | relaxed

Summary:
**Crystal system**: cubic
**VASP energy**: -1.2991 eV/atom
**Total magnetization**: 0.00 μB per cell
**Energy relative to the lowest polymorph listed for this composition**: 0.192 eV per atom

a b c (Å): 8.775 8.775 8.775
angles (deg): 90.00 90.00 90.00
Space group Fm-3m (No. 225)
Unique sites:
Cs 0.250 0.250 0.250
Hg 0.000 0.000 0.000
H 0.000 0.000 0.500


6.
CsHgH2 | GGA-PBE | relaxed

Summary:
**Crystal system**: monoclinic
**VASP energy**: -2.0171 eV/atom
**Total magnetization**: 0.00 μB per cell
**Energy relative to the lowest polymorph listed for this composition**: 0.000 eV per atom

a b c (Å): 6.985 5.762 7.055
angles (deg): 90.00 116.07 90.00
Space group P2_1/m (No. 11)
Unique sites:
Cs 0.220 0.250 0.278
Hg 0.449 0.750 0.056
H 0.051 0.685 0.454


7.
CsHg2H2 | GGA-PBE | relaxed

Summary:
**Crystal system**: triclinic
**VASP energy**: -1.6250 eV/atom
**Total magnetization**: 0.00 μB per cell
**Energy relative to the lowest polymorph listed for this composition**: 0.000 eV per atom

a b c (Å): 3.728 3.892 8.163
angles (deg): 103.74 102.78 90.82
Space group P-1 (No. 2)
Unique sites:
Cs 0.000 0.000 0.000
Hg 0.289 0.300 0.592
H 0.418 0.412 0.828


8.
Cs2Hg2H | GGA-PBE | relaxed

Summary:
**Crystal system**: tetragonal
**VASP energy**: -1.1695 eV/atom
**Total magnetization**: 0.00 μB per cell
**Energy relative to the lowest polymorph listed for this composition**: 0.083 eV per atom

a b c (Å): 8.568 8.568 6.326
angles (deg): 90.00 90.00 90.00
Space group P4/mbm (No. 127)
Unique sites:
Cs 0.195 0.305 0.000
Hg 0.128 0.628 0.500
H 0.000 0.000 0.000


9.
Cs2HgHI | GGA-PBE | relaxed

Summary:
**Crystal system**: tetragonal
**VASP energy**: -1.9991 eV/atom
**Total magnetization**: 0.00 μB per cell

a b c (Å): 6.062 6.062 5.485
angles (deg): 90.00 90.00 90.00
Space group P4/mmm (No. 123)
Unique sites:
Cs 0.000 0.500 0.000
Hg 0.000 0.000 0.500
H 0.000 0.000 0.000
I 0.500 0.500 0.500


10.
Cs2Hg3H2I8O | GGA-PBE | relaxed

Summary:
**Crystal system**: monoclinic
**VASP energy**: -2.4327 eV/atom
**Total magnetization**: 0.00 μB per cell

a b c (Å): 7.694 22.491 8.041
angles (deg): 90.00 105.50 90.00
Space group Cm (No. 8)
Unique sites:
Cs 0.000 0.122 0.000
Hg 0.143 0.305 0.377
Hg 0.244 0.500 0.453
H 0.189 0.000 0.314
H 0.304 0.000 0.181
I 0.005 0.307 0.023
I 0.036 0.193 0.504
I 0.054 0.401 0.577
I 0.099 0.000 0.651
I 0.126 0.500 0.095
O 0.179 0.000 0.189


11.
Cs2InHgH6 | GGA-PBE | relaxed

Summary:
**Crystal system**: orthorhombic
**VASP energy**: -2.4762 eV/atom
**Total magnetization**: 0.00 μB per cell

a b c (Å): 8.689 8.716 8.914
angles (deg): 90.00 90.00 90.00
Space group Fmmm (No. 69)
Unique sites:
Cs 0.250 0.250 0.250
In 0.000 0.000 0.000
Hg 0.000 0.000 0.500
H 0.000 0.000 0.224
H 0.000 0.230 0.000
H 0.231 0.000 0.000


12.
CsInHg2H | GGA-PBE | relaxed

Summary:
**Crystal system**: tetragonal
**VASP energy**: -1.4869 eV/atom
**Total magnetization**: 0.00 μB per cell

a b c (Å): 5.963 5.963 4.374
angles (deg): 90.00 90.00 90.00
Space group P4/mmm (No. 123)
Unique sites:
Cs 0.000 0.000 0.000
In 0.500 0.500 0.500
Hg 0.000 0.500 0.500
H 0.500 0.500 0.000